Entry 1:
Re2W: optimized geometry, PBE. Values from VASP.

Values from the calculation:
Size of the total moment: 0.00 μB/cell
ΔH_f (0 K): 0.359 eV per atom
Raw total energy: -36.8 eV per formula unit
Energy relative to the lowest polymorph listed for this composition: 239 meV per atom

Cell and atoms, written as Quantum ESPRESSO input:
```
&SYSTEM
  ibrav = 0, nat = 6, ntyp = 2
/
ATOMIC_SPECIES
Re 186.21 Re.upf
W 183.84 W.upf
CELL_PARAMETERS angstrom
4.4886 0.0000 0.0000
-2.2443 3.8872 0.0000
0.0000 0.0000 5.3872
ATOMIC_POSITIONS crystal
Re 0.0000 0.0000 0.0000
Re 0.0000 0.0000 0.5000
Re 0.3333 0.6667 0.2500
Re 0.6667 0.3333 0.7500
W 0.3333 0.6667 0.7500
W 0.6667 0.3333 0.2500
```

Entry 2:
Re2W: optimized geometry, PBE. Values from VASP.

Values from the calculation:
Size of the total moment: 0.00 μB/cell
ΔH_f (0 K): 0.177 eV per atom
Raw total energy: -37.3 eV per formula unit
Energy relative to the lowest polymorph listed for this composition: 58 meV per atom

Cell and atoms, written as Quantum ESPRESSO input:
```
&SYSTEM
  ibrav = 0, nat = 6, ntyp = 2
/
ATOMIC_SPECIES
Re 186.21 Re.upf
W 183.84 W.upf
CELL_PARAMETERS angstrom
1.3909 -7.2464 0.0000
1.3909 7.2464 0.0000
0.0000 0.0000 4.5929
ATOMIC_POSITIONS crystal
Re 0.0562 0.9438 0.7500
Re 0.2789 0.7211 0.2500
Re 0.7211 0.2789 0.7500
Re 0.9438 0.0562 0.2500
W 0.3893 0.6107 0.7500
W 0.6107 0.3893 0.2500
```

Entry 3:
Re3W: optimized geometry, PBE. Values from VASP.

Values from the calculation:
Size of the total moment: 0.00 μB/cell
ΔH_f (0 K): 0.120 eV per atom
Raw total energy: -49.8 eV per formula unit
Energy relative to the lowest polymorph listed for this composition: 21 meV per atom

Cell and atoms, written as Quantum ESPRESSO input:
```
&SYSTEM
  ibrav = 0, nat = 4, ntyp = 2
/
ATOMIC_SPECIES
Re 186.21 Re.upf
W 183.84 W.upf
CELL_PARAMETERS angstrom
3.9436 0.0000 0.0000
0.0000 3.9436 0.0000
0.0000 0.0000 3.9436
ATOMIC_POSITIONS crystal
Re 0.0000 0.0000 0.5000
Re 0.0000 0.5000 0.0000
Re 0.5000 0.0000 0.0000
W 0.5000 0.5000 0.5000
```

Entry 4:
ReW7: optimized geometry, PBE. Values from VASP.

Values from the calculation:
Size of the total moment: 0.00 μB/cell
ΔH_f (0 K): 0.415 eV per atom
Raw total energy: -99.8 eV per formula unit
Energy relative to the lowest polymorph listed for this composition: 392 meV per atom

Cell and atoms, written as Quantum ESPRESSO input:
```
&SYSTEM
  ibrav = 0, nat = 8, ntyp = 2
/
ATOMIC_SPECIES
Re 186.21 Re.upf
W 183.84 W.upf
CELL_PARAMETERS angstrom
0.0000 4.0246 4.0246
4.0246 0.0000 4.0246
4.0246 4.0246 0.0000
ATOMIC_POSITIONS crystal
Re 0.0000 0.0000 0.0000
W 0.0000 0.0000 0.5000
W 0.0000 0.5000 0.0000
W 0.0000 0.5000 0.5000
W 0.5000 0.0000 0.0000
W 0.5000 0.0000 0.5000
W 0.5000 0.5000 0.0000
W 0.5000 0.5000 0.5000
```

Entry 5:
Re2W: optimized geometry, PBE. Values from VASP.

Values from the calculation:
Size of the total moment: 0.00 μB/cell
ΔH_f (0 K): 0.159 eV per atom
Raw total energy: -37.4 eV per formula unit
Energy relative to the lowest polymorph listed for this composition: 39 meV per atom

Cell and atoms, written as Quantum ESPRESSO input:
```
&SYSTEM
  ibrav = 0, nat = 12, ntyp = 2
/
ATOMIC_SPECIES
Re 186.21 Re.upf
W 183.84 W.upf
CELL_PARAMETERS angstrom
5.4774 0.0000 0.0000
0.0000 4.2283 0.0000
0.0000 0.0000 8.0483
ATOMIC_POSITIONS crystal
Re 0.0491 0.2500 0.2359
Re 0.1583 0.2500 0.5680
Re 0.3417 0.7500 0.0680
Re 0.4509 0.7500 0.7359
Re 0.5491 0.2500 0.2641
Re 0.6583 0.2500 0.9320
Re 0.8417 0.7500 0.4320
Re 0.9509 0.7500 0.7641
W 0.1617 0.2500 0.9038
W 0.3383 0.7500 0.4038
W 0.6617 0.2500 0.5962
W 0.8383 0.7500 0.0962
```

Entry 6:
Re2W: optimized geometry, PBE. Values from VASP.

Values from the calculation:
Size of the total moment: 0.00 μB/cell
ΔH_f (0 K): 0.151 eV per atom
Raw total energy: -37.4 eV per formula unit
Energy relative to the lowest polymorph listed for this composition: 32 meV per atom

Cell and atoms, written as Quantum ESPRESSO input:
```
&SYSTEM
  ibrav = 0, nat = 3, ntyp = 2
/
ATOMIC_SPECIES
Re 186.21 Re.upf
W 183.84 W.upf
CELL_PARAMETERS angstrom
2.7793 0.0000 0.0000
-1.3896 2.4069 0.0000
0.0000 0.0000 6.9483
ATOMIC_POSITIONS crystal
Re 0.3333 0.6667 0.1565
Re 0.6667 0.3333 0.8435
W 0.0000 0.0000 0.5000
```

Entry 7:
Re3W: optimized geometry, PBE. Values from VASP.

Values from the calculation:
Size of the total moment: 0.00 μB/cell
ΔH_f (0 K): 0.132 eV per atom
Raw total energy: -49.8 eV per formula unit
Energy relative to the lowest polymorph listed for this composition: 33 meV per atom

Cell and atoms, written as Quantum ESPRESSO input:
```
&SYSTEM
  ibrav = 0, nat = 8, ntyp = 2
/
ATOMIC_SPECIES
Re 186.21 Re.upf
W 183.84 W.upf
CELL_PARAMETERS angstrom
4.5273 0.0000 0.0000
0.0000 5.5251 0.0000
0.0000 0.0000 4.9002
ATOMIC_POSITIONS crystal
Re 0.2500 0.0045 0.1610
Re 0.2500 0.2500 0.6735
Re 0.2500 0.4955 0.1610
Re 0.7500 0.5045 0.8390
Re 0.7500 0.7500 0.3265
Re 0.7500 0.9955 0.8390
W 0.2500 0.7500 0.6503
W 0.7500 0.2500 0.3497
```

Entry 8:
Re2W: optimized geometry, PBE. Values from VASP.

Values from the calculation:
Size of the total moment: 0.00 μB/cell
ΔH_f (0 K): 0.119 eV per atom
Raw total energy: -37.5 eV per formula unit
Energy relative to the lowest polymorph listed for this composition: 0 meV per atom

Cell and atoms, written as Quantum ESPRESSO input:
```
&SYSTEM
  ibrav = 0, nat = 3, ntyp = 2
/
ATOMIC_SPECIES
Re 186.21 Re.upf
W 183.84 W.upf
CELL_PARAMETERS angstrom
-1.3946 1.3946 6.0110
1.3946 -1.3946 6.0110
1.3946 1.3946 -6.0110
ATOMIC_POSITIONS crystal
Re 0.1734 0.1734 0.0000
Re 0.8266 0.8266 0.0000
W 0.5000 0.5000 0.0000
```

Entry 9:
Re3W: optimized geometry, PBE. Values from VASP.

Values from the calculation:
Size of the total moment: 0.00 μB/cell
ΔH_f (0 K): 0.139 eV per atom
Raw total energy: -49.7 eV per formula unit
Energy relative to the lowest polymorph listed for this composition: 40 meV per atom

Cell and atoms, written as Quantum ESPRESSO input:
```
&SYSTEM
  ibrav = 0, nat = 4, ntyp = 2
/
ATOMIC_SPECIES
Re 186.21 Re.upf
W 183.84 W.upf
CELL_PARAMETERS angstrom
2.8007 -3.9215 0.0000
2.8007 3.9215 0.0000
0.0000 0.0000 2.7932
ATOMIC_POSITIONS crystal
Re 0.0000 0.0000 0.0000
Re 0.0000 0.5000 0.5000
Re 0.5000 0.0000 0.5000
W 0.5000 0.5000 0.0000
```

Entry 10:
Re3W: optimized geometry, PBE. Values from VASP.

Values from the calculation:
Size of the total moment: 0.00 μB/cell
ΔH_f (0 K): 0.188 eV per atom
Raw total energy: -49.5 eV per formula unit
Energy relative to the lowest polymorph listed for this composition: 89 meV per atom

Cell and atoms, written as Quantum ESPRESSO input:
```
&SYSTEM
  ibrav = 0, nat = 4, ntyp = 2
/
ATOMIC_SPECIES
Re 186.21 Re.upf
W 183.84 W.upf
CELL_PARAMETERS angstrom
-1.5584 2.2227 4.4471
1.5584 -2.2227 4.4471
1.5584 2.2227 -4.4471
ATOMIC_POSITIONS crystal
Re 0.0000 0.0000 0.0000
Re 0.2614 0.7614 0.5000
Re 0.7386 0.2386 0.5000
W 0.5000 0.5000 0.0000
```

Entry 11:
Re5W3: optimized geometry, PBE. Values from VASP.

Values from the calculation:
Size of the total moment: 0.00 μB/cell
ΔH_f (0 K): 0.446 eV per atom
Raw total energy: -97.5 eV per formula unit
Energy relative to the lowest polymorph listed for this composition: 155 meV per atom

Cell and atoms, written as Quantum ESPRESSO input:
```
&SYSTEM
  ibrav = 0, nat = 16, ntyp = 2
/
ATOMIC_SPECIES
Re 186.21 Re.upf
W 183.84 W.upf
CELL_PARAMETERS angstrom
7.6992 0.0000 0.0000
-3.8496 6.6677 0.0000
0.0000 0.0000 4.9929
ATOMIC_POSITIONS crystal
Re 0.0000 0.2183 0.2500
Re 0.0000 0.7817 0.7500
Re 0.2183 0.0000 0.2500
Re 0.2183 0.2183 0.7500
Re 0.3333 0.6667 0.0000
Re 0.3333 0.6667 0.5000
Re 0.6667 0.3333 0.0000
Re 0.6667 0.3333 0.5000
Re 0.7817 0.0000 0.7500
Re 0.7817 0.7817 0.2500
W 0.0000 0.4037 0.7500
W 0.0000 0.5963 0.2500
W 0.4037 0.0000 0.7500
W 0.4037 0.4037 0.2500
W 0.5963 0.0000 0.2500
W 0.5963 0.5963 0.7500
```

Entry 12:
Re2W: optimized geometry, PBE. Values from VASP.

Values from the calculation:
Size of the total moment: 0.00 μB/cell
ΔH_f (0 K): 1.512 eV per atom
Raw total energy: -33.3 eV per formula unit
Energy relative to the lowest polymorph listed for this composition: 1393 meV per atom

Cell and atoms, written as Quantum ESPRESSO input:
```
&SYSTEM
  ibrav = 0, nat = 12, ntyp = 2
/
ATOMIC_SPECIES
Re 186.21 Re.upf
W 183.84 W.upf
CELL_PARAMETERS angstrom
6.0931 0.0000 0.0000
0.0000 6.0931 0.0000
0.0000 0.0000 6.0931
ATOMIC_POSITIONS crystal
Re 0.1175 0.1175 0.1175
Re 0.1175 0.3825 0.6175
Re 0.3825 0.6175 0.1175
Re 0.3825 0.8825 0.6175
Re 0.6175 0.1175 0.3825
Re 0.6175 0.3825 0.8825
Re 0.8825 0.6175 0.3825
Re 0.8825 0.8825 0.8825
W 0.0000 0.0000 0.5000
W 0.0000 0.5000 0.0000
W 0.5000 0.0000 0.0000
W 0.5000 0.5000 0.5000
```